Entry from Alexandria: a geometry-optimized Tb6Pm3Sm2 structure (PBE-GGA).

POSCAR file:
```
Tb6Pm3Sm2
1.0
5.930 0.000 1.777
2.965 5.374 0.889
-1.299 0.000 11.649
Tb Pm Sm
6 3 2
direct
0.417 0.667 0.748
0.751 0.000 0.749
0.084 0.333 0.748
0.249 0.000 0.251
0.583 0.333 0.252
0.916 0.667 0.252
0.000 0.000 0.000
0.335 0.329 0.000
0.665 0.671 0.000
0.166 0.667 0.500
0.834 0.333 0.500
```

Summary:
Calculated total energy (eV per atom): -4.4903
Total magnetic moment (μB per formula unit): 0.00
Calculated volume (Å³ per cell): 384
Space group: C2/m, No. 12
ΔH_f (0 K) (meV per atom): 188.9
Density (g/cm³): 7.31



Entry from Alexandria: a geometry-optimized TbPm2Sm7 structure (PBE-GGA).

POSCAR file:
```
TbPm2Sm7
1.0
3.543 0.000 0.000
0.000 9.942 -2.721
0.000 -0.660 10.286
Tb Pm Sm
1 2 7
direct
0.000 0.000 0.000
0.500 0.829 0.171
0.500 0.171 0.829
0.000 0.675 0.325
0.000 0.325 0.675
0.500 0.129 0.383
0.500 0.871 0.617
0.500 0.383 0.129
0.500 0.617 0.871
0.500 0.500 0.500
```

Summary:
Calculated total energy (eV per atom): -4.3250
Total magnetic moment (μB per formula unit): 0.00
Calculated volume (Å³ per cell): 356
Space group: Cmmm, No. 65
ΔH_f (0 K) (meV per atom): 391.5
Density (g/cm³): 7.00



Entry from Alexandria: a geometry-optimized TbPmSm2 structure (PBE-GGA).

POSCAR file:
```
TbPmSm2
1.0
-2.197 0.285 2.857
-3.450 -1.050 -0.260
1.171 -11.133 4.297
Tb Sm Pm
1 2 1
direct
0.500 0.500 0.500
0.751 0.751 0.747
0.249 0.249 0.253
0.000 0.000 0.000
```

Summary:
Calculated total energy (eV per atom): -4.6911
Total magnetic moment (μB per formula unit): 0.00
Calculated volume (Å³ per cell): 134
Space group: R-3m, No. 166
ΔH_f (0 K) (meV per atom): 13.7
Density (g/cm³): 7.51



Entry from Alexandria: a geometry-optimized Tb3Pm5Sm2 structure (PBE-GGA).

POSCAR file:
```
Tb3Pm5Sm2
1.0
6.894 0.000 0.000
3.447 11.608 2.907
3.447 5.883 10.420
Tb Pm Sm
6 10 4
direct
0.250 0.000 0.000
0.750 0.000 0.000
0.379 0.370 0.873
0.621 0.630 0.127
0.879 0.873 0.370
0.121 0.127 0.630
0.250 0.500 0.500
0.750 0.500 0.500
0.498 0.752 0.752
0.002 0.248 0.248
0.502 0.248 0.248
0.998 0.752 0.752
0.126 0.469 0.278
0.874 0.531 0.722
0.626 0.278 0.469
0.374 0.722 0.531
0.123 0.781 0.974
0.877 0.219 0.026
0.623 0.974 0.781
0.377 0.026 0.219
```

Summary:
Calculated total energy (eV per atom): -4.3384
Total magnetic moment (μB per formula unit): 0.00
Calculated volume (Å³ per cell): 716
Space group: Ibam, No. 72
ΔH_f (0 K) (meV per atom): 369.8
Density (g/cm³): 6.97